Record 1
VASP calculation (PBE-GGA) on a relaxed structure of BaYW2.

Summary:
- energy of formation from the pure elements (eV per atom) = 0.997

Cell and atoms, written as CIF:
```
data_BaYW2
_chemical_formula_sum 'Ba1 Y1 W2'
_symmetry_space_group_name_H-M 'P m m m'
_symmetry_Int_Tables_number 47
_cell_length_a 3.421
_cell_length_b 4.604
_cell_length_c 7.109
_cell_angle_alpha 90.00
_cell_angle_beta 90.00
_cell_angle_gamma 90.00
loop_
_symmetry_equiv_pos_as_xyz
'x,y,z'
'-x,-y,-z'
'-x,-y,z'
'x,y,-z'
'x,-y,-z'
'-x,y,z'
'-x,y,-z'
'x,-y,z'
loop_
_atom_site_label
_atom_site_type_symbol
_atom_site_fract_x
_atom_site_fract_y
_atom_site_fract_z
Ba1 Ba 0.000 0.000 0.000
Y1 Y 0.000 0.000 0.500
W1 W 0.500 0.500 0.337
```


Record 2
VASP calculation (PBE-GGA) on a relaxed structure of Ti3CrOs.

Summary:
- energy of formation from the pure elements (eV per atom) = 0.738

Cell and atoms, written as CIF:
```
data_Ti3CrOs
_chemical_formula_sum 'Ti3 Cr1 Os1'
_symmetry_space_group_name_H-M 'P m -3 m'
_symmetry_Int_Tables_number 221
_symmetry_space_group_name_Hall '-P 4 2 3'
_cell_length_a 4.369
_cell_length_b 4.369
_cell_length_c 4.369
_cell_angle_alpha 90.00
_cell_angle_beta 90.00
_cell_angle_gamma 90.00
loop_
_atom_site_label
_atom_site_type_symbol
_atom_site_fract_x
_atom_site_fract_y
_atom_site_fract_z
Ti1 Ti 0.000 0.000 0.500
Cr1 Cr 0.000 0.000 0.000
Os1 Os 0.500 0.500 0.500
```


Record 3
VASP calculation (PBE-GGA) on a relaxed structure of Ce2CuH12Rh3.

Summary:
- E (eV per atom) = -4.5881

Cell and atoms, written as CIF:
```
data_Ce2CuH12Rh3
_chemical_formula_sum 'Ce6 Cu3 H36 Rh9'
_symmetry_space_group_name_H-M 'R -3 m'
_symmetry_Int_Tables_number 166
_symmetry_space_group_name_Hall '-R 3 2"'
_cell_length_a 6.2746
_cell_length_b 6.2746
_cell_length_c 14.2215
_cell_angle_alpha 90.00
_cell_angle_beta 90.00
_cell_angle_gamma 120.00
loop_
_atom_site_label
_atom_site_type_symbol
_atom_site_fract_x
_atom_site_fract_y
_atom_site_fract_z
Ce1 Ce 0.0000 0.0000 0.1235
Cu1 Cu 0.0000 0.0000 0.5000
H1 H 0.0338 0.5169 0.3513
H2 H 0.0349 0.5174 0.1179
Rh1 Rh 0.0000 0.5000 0.0000
```


Record 4
VASP calculation (PBE-GGA) on a relaxed structure of CaFeP2W.

Summary:
- energy of formation from the pure elements (eV per atom) = -0.552

Cell and atoms, written as CIF:
```
data_CaFeP2W
_chemical_formula_sum 'Ca2 Fe2 P4 W2'
_symmetry_space_group_name_H-M 'I -4 m 2'
_symmetry_Int_Tables_number 119
_symmetry_space_group_name_Hall 'I -4 -2'
_cell_length_a 3.866
_cell_length_b 3.866
_cell_length_c 11.594
_cell_angle_alpha 90.00
_cell_angle_beta 90.00
_cell_angle_gamma 90.00
loop_
_atom_site_label
_atom_site_type_symbol
_atom_site_fract_x
_atom_site_fract_y
_atom_site_fract_z
Ca1 Ca 0.000 0.000 0.000
Fe1 Fe 0.000 0.500 0.750
P1 P 0.000 0.000 0.369
W1 W 0.000 0.500 0.250
```


no.,M_tot (μB per formula unit)
1,0.0
2,0.0
3,3.6
4,2.1